Computed, not measured: crystalline Tm2TiNi at its relaxed geometry at the GGA-PBE level of DFT.

a b c (Å): 3.316 3.316 9.889
angles (deg): 80.35 80.35 60.00
Each line ends with the local moment (μB).
Positions (direct):
Tm  0.898  0.898  0.305  0.07
Tm  0.102  0.102  0.695  0.07
Ti  0.000  0.000  0.000  1.32
Ni  0.500  0.500  0.500  0.02

Results
Energy relative to the lowest polymorph listed for this composition = 1.624 eV/f.u.
ΔH_f (0 K) = 0.31 eV per atom



Computed, not measured: crystalline TmTiNi2 at its relaxed geometry at the GGA-PBE level of DFT.

a b c (Å): 3.179 4.474 4.474
angles (deg): 90.00 90.00 90.00
Positions (direct):
Ti  0.500  0.000  0.000
Ni  0.000  0.000  0.500
Ni  0.000  0.500  0.000
Tm  0.500  0.500  0.500

Results
Energy relative to the lowest polymorph listed for this composition = 0.365 eV/f.u.
ΔH_f (0 K) = -0.30 eV per atom



Computed, not measured: crystalline TmTiZnNi at its relaxed geometry at the GGA-PBE level of DFT.

a b c (Å): 4.616 4.616 4.616
angles (deg): 60.00 60.00 60.00
Each line ends with the local moment (μB).
Positions (direct):
Tm  0.750  0.750  0.750  0.14
Ti  0.250  0.250  0.250  0.65
Zn  0.000  0.000  0.000  0.02
Ni  0.500  0.500  0.500  0.09

Results
ΔH_f (0 K) = -0.19 eV per atom



Computed, not measured: crystalline UTi2Ni at its relaxed geometry at the GGA-PBE level of DFT.

a b c (Å): 2.823 2.823 8.089
angles (deg): 90.00 90.00 90.00
Positions (direct):
Ti  0.000  0.000  0.209
Ti  0.000  0.000  0.791
Ni  0.500  0.500  0.000
U  0.500  0.500  0.500

Results
Energy relative to the lowest polymorph listed for this composition = 0.000 eV/f.u.
ΔH_f (0 K) = -0.11 eV per atom



Computed, not measured: crystalline UTiNi14 at its relaxed geometry at the GGA-PBE level of DFT.

a b c (Å): 5.949 5.949 5.354
angles (deg): 90.00 90.00 90.00
Positions (direct):
Ni  0.875  0.375  0.500
Ni  0.630  0.630  0.241
Ni  0.120  0.120  0.241
Ni  0.375  0.875  0.500
Ni  0.375  0.375  0.000
Ni  0.375  0.875  0.000
Ni  0.875  0.375  0.000
Ni  0.875  0.875  0.000
Ni  0.630  0.630  0.759
Ni  0.630  0.120  0.241
Ni  0.120  0.630  0.241
Ni  0.630  0.120  0.759
Ni  0.120  0.630  0.759
Ni  0.120  0.120  0.759
U  0.375  0.375  0.500
Ti  0.875  0.875  0.500

Results
ΔH_f (0 K) = -0.10 eV per atom



Computed, not measured: crystalline UTi2Ni at its relaxed geometry at the GGA-PBE level of DFT.

a b c (Å): 2.945 4.677 4.677
angles (deg): 90.00 90.00 90.00
Each line ends with the local moment (μB).
Positions (direct):
U  0.500  0.500  0.500  0.83
Ti  0.000  0.500  0.000  0.07
Ti  0.000  0.000  0.500  0.07
Ni  0.500  0.000  0.000  0.01

Results
Energy relative to the lowest polymorph listed for this composition = 0.685 eV/f.u.
ΔH_f (0 K) = 0.06 eV per atom



Computed, not measured: crystalline UTiNi at its relaxed geometry at the GGA-PBE level of DFT.

a b c (Å): 3.802 3.802 7.060
angles (deg): 90.00 90.00 90.00
Each line ends with the local moment (μB).
Positions (direct):
U  0.500  0.500  0.500  0.69
U  0.000  0.000  0.500  0.69
Ti  0.500  0.000  0.882  -0.10
Ti  0.000  0.500  0.118  -0.10
Ni  0.500  0.000  0.203  0.02
Ni  0.000  0.500  0.797  0.02

Results
ΔH_f (0 K) = 0.05 eV per atom



Computed, not measured: crystalline TiVNi3 at its relaxed geometry at the GGA-PBE level of DFT.

a b c (Å): 4.245 4.245 4.245
angles (deg): 90.00 90.00 90.00
Each line ends with the local moment (μB).
Positions (direct):
Ti  0.500  0.500  0.500  0.63
Ni  0.000  0.500  0.000  0.01
Ni  0.500  0.000  0.000  0.01
Ni  0.000  0.000  0.500  0.01
V  0.000  0.000  0.000  -0.23

Results
Energy relative to the lowest polymorph listed for this composition = 3.024 eV/f.u.
ΔH_f (0 K) = 0.74 eV per atom



Among the records above, which one has the lowest ΔH_f (0 K)? TmTiNi2



The highest ΔH_f (0 K) belongs to which entry? TiVNi3